DFT (PBE) results for an optimized crystal structure of Ac2PrThBi4. Values from VASP.

## Properties
* total moment: 0.000 μB/f.u.
* volume: 37.7 A^3/atom
* electronic total energy: -5.39 eV per atom

Quantum ESPRESSO input file:
```
&SYSTEM
  ibrav = 0, nat = 8, ntyp = 4
/
ATOMIC_SPECIES
Ac 227.00 Ac.upf
Pr 140.91 Pr.upf
Th 232.04 Th.upf
Bi 208.98 Bi.upf
CELL_PARAMETERS angstrom
8.195 0.000 0.000
0.000 4.738 0.000
-2.732 0.000 7.775
ATOMIC_POSITIONS crystal
Ac 0.000 0.000 0.000
Ac 0.500 0.500 0.000
Pr 0.000 0.500 0.500
Th 0.500 0.000 0.500
Bi 0.248 0.000 0.736
Bi 0.257 0.500 0.266
Bi 0.743 0.500 0.734
Bi 0.752 0.000 0.264
```

=====

DFT (PBE) results for an optimized crystal structure of TePb2O. Values from VASP.

## Properties
* E_form (uncorrected): -52.55 kJ/mol of atoms
* total moment: 0.000 μB/f.u.
* excess energy over the best structure of this formula in the dataset: 13.20 kJ/mol of atoms
* volume: 32.6 A^3/atom

Quantum ESPRESSO input file:
```
&SYSTEM
  ibrav = 0, nat = 8, ntyp = 3
/
ATOMIC_SPECIES
Te 127.60 Te.upf
Pb 207.20 Pb.upf
O 16.00 O.upf
CELL_PARAMETERS angstrom
-3.243 3.243 6.208
3.243 -3.243 6.208
3.243 3.243 -6.208
ATOMIC_POSITIONS crystal
Te 0.000 0.000 0.000
Te 0.750 0.250 0.500
Pb 0.220 0.625 0.095
Pb 0.375 0.470 0.595
Pb 0.530 0.125 0.905
Pb 0.875 0.780 0.405
O 0.250 0.750 0.500
O 0.500 0.500 0.000
```